w) Below is a relaxed Sb2Te2Pb crystal, with properties calculated at the PBE level.

Geometry as POSCAR:
```
Sb2Te2Pb
1.0
6.000 0.000 0.000
0.000 6.000 0.000
3.000 3.000 4.714
Pb Sb Te
1 2 2
direct
0.000 0.000 0.000 Pb
0.336 0.336 0.328 Sb
0.664 0.664 0.672 Sb
0.750 0.250 0.500 Te
0.250 0.750 0.500 Te
```

x) Below is a relaxed Sb2Te2Pb crystal, with properties calculated at the PBE level.

Geometry as POSCAR:
```
Sb2Te2Pb
1.0
-2.500 -3.097 1.601
2.326 -0.014 3.604
-5.380 4.497 6.043
Pb Sb Te
1 2 2
direct
0.000 0.000 0.000 Pb
0.750 0.250 0.500 Sb
0.250 0.750 0.500 Sb
0.407 0.407 0.186 Te
0.593 0.593 0.814 Te
```

y) Below is a relaxed Sb2Te2Pb crystal, with properties calculated at the PBE level.

Geometry as POSCAR:
```
Sb2Te2Pb
1.0
-8.560 1.222 1.200
-1.511 -2.512 -8.223
-0.377 -3.868 1.251
Pb Sb Te
2 4 4
direct
0.000 0.000 0.000 Pb
0.500 0.500 0.000 Pb
0.352 0.852 0.000 Sb
0.852 0.648 0.000 Sb
0.648 0.148 0.000 Sb
0.148 0.352 0.000 Sb
0.179 0.679 0.500 Te
0.679 0.821 0.500 Te
0.821 0.321 0.500 Te
0.321 0.179 0.500 Te
```

y) is favored, and the nearest alternative lies 0.024 eV/atom above it.

w) Below is a relaxed SbTePb2 crystal, with properties calculated at the PBE level.

Geometry as POSCAR:
```
SbTePb2
1.0
-3.692 -3.253 -4.304
2.962 -2.139 -5.421
-0.079 -0.255 6.531
Pb Sb Te
2 1 1
direct
0.984 0.984 0.000 Pb
0.266 0.766 0.500 Pb
0.507 0.507 0.000 Sb
0.742 0.242 0.500 Te
```

x) Below is a relaxed SbTePb2 crystal, with properties calculated at the PBE level.

Geometry as POSCAR:
```
SbTePb2
1.0
5.556 0.000 0.000
2.778 4.811 0.000
2.778 1.604 4.536
Pb Sb Te
2 1 1
direct
0.000 0.000 0.000 Pb
0.250 0.250 0.250 Pb
0.500 0.500 0.500 Sb
0.750 0.750 0.750 Te
```

y) Below is a relaxed SbTePb2 crystal, with properties calculated at the PBE level.

Geometry as POSCAR:
```
SbTePb2
1.0
3.424 0.044 0.000
-1.070 3.252 0.000
0.000 0.000 10.986
Pb Sb Te
2 1 1
direct
0.000 0.000 0.986 Pb
0.500 0.500 0.265 Pb
0.000 0.000 0.491 Sb
0.500 0.500 0.758 Te
```

w) is favored, and the nearest alternative lies 0.116 eV/atom above it.

w) Below is a relaxed SbTePb2 crystal, with properties calculated at the PBE level.

Geometry as POSCAR:
```
SbTePb2
1.0
-1.151 -6.392 -0.714
5.165 -3.950 -0.640
-2.952 4.391 3.834
Pb Sb Te
2 1 1
direct
0.004 0.004 0.000 Pb
0.496 0.496 0.000 Pb
0.250 0.750 0.500 Sb
0.750 0.250 0.500 Te
```

x) Below is a relaxed SbTePb2 crystal, with properties calculated at the PBE level.

Geometry as POSCAR:
```
SbTePb2
1.0
5.515 -0.195 0.000
-0.998 5.428 0.000
0.000 0.000 4.161
Pb Sb Te
2 1 1
direct
0.000 0.000 0.000 Pb
0.500 0.500 0.000 Pb
0.500 0.000 0.500 Sb
0.000 0.500 0.500 Te
```

y) Below is a relaxed SbTePb2 crystal, with properties calculated at the PBE level.

Geometry as POSCAR:
```
SbTePb2
1.0
6.650 0.000 0.000
3.399 5.716 0.000
-5.025 -2.858 3.288
Pb Sb Te
2 1 1
direct
0.000 0.000 0.000 Pb
0.250 0.750 0.500 Pb
0.500 0.500 0.000 Sb
0.750 0.250 0.500 Te
```

z) Below is a relaxed SbTePb2 crystal, with properties calculated at the PBE level.

Geometry as POSCAR:
```
SbTePb2
1.0
-2.122 1.984 1.789
-0.455 -3.200 1.092
7.738 1.475 7.543
Pb Sb Te
2 1 1
direct
0.000 0.000 0.001 Pb
0.000 0.000 0.499 Pb
0.500 0.500 0.250 Sb
0.500 0.500 0.750 Te
```

x) is favored, and the nearest alternative lies 0.043 eV/atom above it.

w) Below is a relaxed SbTePb2 crystal, with properties calculated at the PBE level.

Geometry as POSCAR:
```
SbTePb2
1.0
3.890 0.000 0.000
0.000 5.610 0.000
0.000 0.000 5.532
Pb Sb Te
2 1 1
direct
0.000 0.000 0.000 Pb
0.500 0.500 0.000 Pb
0.500 0.000 0.500 Sb
0.000 0.500 0.500 Te
```

x) Below is a relaxed SbTePb2 crystal, with properties calculated at the PBE level.

Geometry as POSCAR:
```
SbTePb2
1.0
-5.055 5.503 -4.237
-7.784 2.283 -2.826
-6.564 5.541 -0.050
Pb Sb Te
2 1 1
direct
0.008 0.008 0.008 Pb
0.238 0.238 0.238 Pb
0.510 0.510 0.510 Sb
0.744 0.744 0.744 Te
```

x) is favored, and the nearest alternative lies 0.072 eV/atom above it.

w) Below is a relaxed SbTePb2 crystal, with properties calculated at the PBE level.

Geometry as POSCAR:
```
SbTePb2
1.0
7.260 0.000 0.000
0.000 7.260 0.000
3.630 3.630 7.053
Pb Sb Te
4 2 2
direct
0.617 0.125 0.250 Pb
0.133 0.625 0.250 Pb
0.375 0.383 0.750 Pb
0.875 0.867 0.750 Pb
0.500 0.500 0.000 Sb
0.250 0.750 0.500 Sb
0.000 0.000 0.000 Te
0.750 0.250 0.500 Te
```

x) Below is a relaxed SbTePb2 crystal, with properties calculated at the PBE level.

Geometry as POSCAR:
```
SbTePb2
1.0
0.000 3.949 3.949
3.949 0.000 3.949
3.949 3.949 0.000
Pb Sb Te
2 1 1
direct
0.250 0.250 0.250 Pb
0.750 0.750 0.750 Pb
0.000 0.000 0.000 Sb
0.500 0.500 0.500 Te
```

x) is favored, and the nearest alternative lies 0.042 eV/atom above it.

w) Below is a relaxed SbTePb2 crystal, with properties calculated at the PBE level.

Geometry as POSCAR:
```
SbTePb2
1.0
-3.336 -2.195 5.929
1.028 -2.226 6.714
-0.233 4.299 1.462
Pb Sb Te
2 1 1
direct
0.031 0.031 0.125 Pb
0.720 0.720 0.625 Pb
0.491 0.491 0.625 Sb
0.258 0.258 0.125 Te
```

x) Below is a relaxed SbTePb2 crystal, with properties calculated at the PBE level.

Geometry as POSCAR:
```
SbTePb2
1.0
4.251 0.000 0.000
0.000 4.166 0.726
0.000 2.973 7.523
Pb Sb Te
2 1 1
direct
0.000 0.995 0.003 Pb
0.000 0.505 0.497 Pb
0.500 0.250 0.250 Sb
0.500 0.750 0.750 Te
```

y) Below is a relaxed SbTePb2 crystal, with properties calculated at the PBE level.

Geometry as POSCAR:
```
SbTePb2
1.0
-5.414 1.786 -3.292
-0.651 -4.500 4.397
-1.856 1.823 2.409
Pb Sb Te
2 1 1
direct
0.000 0.000 0.000 Pb
0.500 0.000 0.500 Pb
0.000 0.500 0.500 Sb
0.500 0.500 0.000 Te
```

w) is favored, and the nearest alternative lies 0.073 eV/atom above it.